Computed, not measured: an optimized crystal structure of MgZn2MoOs at the PBE level of DFT.

Formation energy from the elements in eV per atom: 0.83
Crystal system: tetragonal

Lattice parameters (Å, degrees): 4.8208 4.8208 4.7776 90.00 90.00 90.00
Last column: nearest neighbours and their distance in Å.
Space group P4/mmm (No. 123)
Symmetry-distinct sites (fractional):
Mg 0.0000 0.0000 0.0000 (multiplicity 1)  8 Zn 3.39, 4 Mo 3.41
Zn 0.0000 0.5000 0.5000 (multiplicity 2)  2 Os 2.41
Mo 0.5000 0.5000 0.0000 (multiplicity 1)  2 Os 2.39
Os 0.5000 0.5000 0.5000 (multiplicity 1)  2 Mo 2.39, 4 Zn 2.41

---

Computed, not measured: an optimized crystal structure of MgMo2P2 at the PBE level of DFT.

Offset from the most stable computed form in eV/f.u.: 0.00
Formation energy from the elements in eV per atom: -0.31
Crystal system: tetragonal

Lattice parameters (Å, degrees): 6.8728 6.8728 3.1103 90.00 90.00 90.00
Last column: nearest neighbours and their distance in Å.
Space group P4/mbm (No. 127)
Symmetry-distinct sites (fractional):
Mg 0.0000 0.0000 0.0000 (multiplicity 2)  4 P 2.65
Mo 0.1492 0.3508 0.5000 (multiplicity 4)  6 P 2.54-2.56
P 0.1421 0.6421 0.0000 (multiplicity 4)  6 Mo 2.54-2.56, 2 Mg 2.65, 1 P 2.76

---

Computed, not measured: an optimized crystal structure of MgMoP2 at the PBE level of DFT.

Formation energy from the elements in eV per atom: -0.39
Crystal system: trigonal

Lattice parameters (Å, degrees): 3.3207 3.3207 20.5256 90.00 90.00 120.00
Last column: nearest neighbours and their distance in Å.
Space group R-3m (No. 166, hexagonal axes)
Symmetry-distinct sites (fractional):
Mg 0.0000 0.0000 0.0000 (multiplicity 3)  6 P 2.66
Mo 0.0000 0.0000 0.5000 (multiplicity 3)  6 P 2.48
P 0.0000 0.0000 0.2435 (multiplicity 6)  3 Mo 2.48, 3 Mg 2.66

---

Computed, not measured: an optimized crystal structure of MgMoP at the PBE level of DFT.

Formation energy from the elements in eV per atom: -0.34
Crystal system: tetragonal

Lattice parameters (Å, degrees): 4.0484 4.0484 6.1986 90.00 90.00 90.00
Last column: nearest neighbours and their distance in Å.
Space group P4/nmm (No. 129, origin choice 2)
Symmetry-distinct sites (fractional):
Mg 0.2500 0.2500 0.1541 (multiplicity 2)  1 P 2.59
Mo 0.2500 0.7500 0.5000 (multiplicity 2)  4 P 2.50
P 0.2500 0.2500 0.7359 (multiplicity 2)  4 Mo 2.50, 1 Mg 2.59

---

Computed, not measured: an optimized crystal structure of MgMo2P2 at the PBE level of DFT.

Offset from the most stable computed form in eV/f.u.: 1.54
Formation energy from the elements in eV per atom: 0.00
Crystal system: tetragonal

Lattice parameters (Å, degrees): 4.5487 4.5487 8.5732 90.00 90.00 90.00
Last column: nearest neighbours and their distance in Å.
Space group I4/mmm (No. 139)
Symmetry-distinct sites (fractional):
Mg 0.0000 0.0000 0.0000 (multiplicity 2)  8 P 3.13, 10 Mo 3.15-3.41
Mo 0.0000 0.0000 0.3674 (multiplicity 4)  1 Mo 2.27, 4 P 2.49
P 0.0000 0.5000 0.2500 (multiplicity 4)  4 Mo 2.49

---

Computed, not measured: an optimized crystal structure of MgMoP2 at the PBE level of DFT.

Formation energy from the elements in eV per atom: -0.33
Crystal system: monoclinic

Lattice parameters (Å, degrees): 12.7021 3.1558 3.5150 90.00 91.13 90.00
Last column: nearest neighbours and their distance in Å.
Space group Cm (No. 8)
Symmetry-distinct sites (fractional):
Mg 0.0000 0.0000 0.0000 (multiplicity 2)  5 P 2.58-2.59
Mo 0.2258 0.0000 0.5183 (multiplicity 2)  6 P 2.42-2.53
P 0.0812 0.5000 0.5063 (multiplicity 2)  2 Mo 2.42, 4 Mg 2.58
P 0.2963 0.5000 0.0235 (multiplicity 2)  4 Mo 2.53, 1 Mg 2.59

---

Computed, not measured: an optimized crystal structure of Mg2MoP at the PBE level of DFT.

Formation energy from the elements in eV per atom: 0.19
Crystal system: monoclinic

Lattice parameters (Å, degrees): 2.8175 4.7410 5.0923 90.00 101.35 90.00
Last column: nearest neighbours and their distance in Å.
Space group P2/m (No. 10)
Symmetry-distinct sites (fractional):
Mg 0.1621 0.0000 0.2525 (multiplicity 2)  5 Mg 2.55-2.84, 2 P 2.76
Mo 0.5000 0.5000 0.0000 (multiplicity 1)  2 P 2.55, 2 Mo 2.82
P 0.5000 0.5000 0.5000 (multiplicity 1)  2 Mo 2.55, 4 Mg 2.76, 2 P 2.82

---

Computed, not measured: an optimized crystal structure of MgMoP at the PBE level of DFT.

Formation energy from the elements in eV per atom: -0.28
Crystal system: tetragonal

Lattice parameters (Å, degrees): 3.1686 3.1686 9.6098 90.00 90.00 90.00
Last column: nearest neighbours and their distance in Å.
Space group I4mm (No. 107)
Symmetry-distinct sites (fractional):
Mg 0.0000 0.0000 0.0000 (multiplicity 2)  5 Mo 2.88-2.96, 5 P 2.91-2.95, 4 Mg 3.17
Mo 0.0000 0.0000 0.7006 (multiplicity 2)  4 P 2.46
P 0.0000 0.0000 0.3071 (multiplicity 2)  4 Mo 2.46

---

Computed, not measured: an optimized crystal structure of MgMo4P at the PBE level of DFT.

Formation energy from the elements in eV per atom: 0.57
Crystal system: cubic

Lattice parameters (Å, degrees): 7.4217 7.4217 7.4217 90.00 90.00 90.00
Last column: nearest neighbours and their distance in Å.
Space group F-43m (No. 216)
Symmetry-distinct sites (fractional):
Mg 0.0000 0.0000 0.0000 (multiplicity 4)  12 Mo 3.08, 4 P 3.21
Mo 0.1249 0.1249 0.6249 (multiplicity 16)  6 Mo 2.62-2.63
P 0.2500 0.2500 0.2500 (multiplicity 4)  12 Mo 3.08, 4 Mg 3.21

---

Computed, not measured: an optimized crystal structure of MgMo3P at the PBE level of DFT.

Offset from the most stable computed form in eV/f.u.: 0.00
Formation energy from the elements in eV per atom: 0.49
Crystal system: cubic

Lattice parameters (Å, degrees): 4.4997 4.4997 4.4997 90.00 90.00 90.00
Last column: nearest neighbours and their distance in Å.
Space group Pm-3m (No. 221)
Symmetry-distinct sites (fractional):
Mg 0.0000 0.0000 0.0000 (multiplicity 1)  12 Mo 3.18
Mo 0.0000 0.5000 0.5000 (multiplicity 3)  2 P 2.25
P 0.5000 0.5000 0.5000 (multiplicity 1)  6 Mo 2.25

---

Computed, not measured: an optimized crystal structure of MgMoP2 at the PBE level of DFT.

Formation energy from the elements in eV per atom: -0.06
Crystal system: tetragonal

Lattice parameters (Å, degrees): 5.7448 5.7448 11.0432 90.00 90.00 90.00
Last column: nearest neighbours and their distance in Å.
Space group I-42d (No. 122)
Symmetry-distinct sites (fractional):
Mg 0.0000 0.0000 0.0000 (multiplicity 4)  4 P 2.59
Mo 0.0000 0.0000 0.5000 (multiplicity 4)  4 P 2.33
P 0.2119 0.2500 0.6250 (multiplicity 8)  2 Mo 2.33, 2 Mg 2.59

---

Computed, not measured: an optimized crystal structure of Mg2MoP at the PBE level of DFT.

Formation energy from the elements in eV per atom: 0.06
Crystal system: orthorhombic

Lattice parameters (Å, degrees): 3.4099 4.8493 8.6939 90.00 90.00 90.00
Last column: nearest neighbours and their distance in Å.
Space group Cmm2 (No. 35)
Symmetry-distinct sites (fractional):
Mg 0.0000 0.0000 0.0000 (multiplicity 2)  2 Mo 2.86, 6 Mg 2.96-3.09
Mg 0.0000 0.5000 0.2963 (multiplicity 2)  2 P 2.76, 4 Mg 2.96
Mo 0.0000 0.5000 0.7353 (multiplicity 2)  2 P 2.37
P 0.0000 0.0000 0.5456 (multiplicity 2)  2 Mo 2.37

---

Computed, not measured: an optimized crystal structure of MgMoP4 at the PBE level of DFT.

Formation energy from the elements in eV per atom: 0.55
Crystal system: cubic

Lattice parameters (Å, degrees): 7.1075 7.1075 7.1075 90.00 90.00 90.00
Last column: nearest neighbours and their distance in Å.
Space group F-43m (No. 216)
Symmetry-distinct sites (fractional):
Mg 0.0000 0.0000 0.0000 (multiplicity 4)  12 P 2.95, 4 Mo 3.08
Mo 0.2500 0.2500 0.7500 (multiplicity 4)  12 P 2.94, 4 Mg 3.08
P 0.1230 0.1230 0.3770 (multiplicity 16)  6 P 2.47-2.55

---

Computed, not measured: an optimized crystal structure of MgMo3P at the PBE level of DFT.

Offset from the most stable computed form in eV/f.u.: 9.12
Formation energy from the elements in eV per atom: 2.31
Crystal system: cubic

Lattice parameters (Å, degrees): 4.5945 4.5945 4.5945 90.00 90.00 90.00
Last column: nearest neighbours and their distance in Å.
Space group Pm-3m (No. 221)
Symmetry-distinct sites (fractional):
Mg 0.0000 0.0000 0.0000 (multiplicity 1)  6 Mo 2.30
Mo 0.0000 0.0000 0.5000 (multiplicity 3)  2 Mg 2.30
P 0.5000 0.5000 0.5000 (multiplicity 1)  12 Mo 3.25